No. 1
Below is La2TeBr at its PBEsol-relaxed geometry, with properties calculated at the meta-GGA SCAN level.

Summary:
DOS(E_F) ... 2.09 states/eV/cell
E ... -1.3694 Ha/atom

Cell: 5.368 5.368 5.368 Å, 60.00 60.00 60.00°
Fractional coordinates of all 4 atoms:
La1 0.250 0.250 0.250
La2 0.750 0.750 0.750
Te1 0.000 0.000 0.000
Br1 0.500 0.500 0.500

***

No. 2
Below is Te6MoW3S2 at its PBEsol-relaxed geometry, with properties calculated at the meta-GGA SCAN level.

Summary:
DOS(E_F) ... 1.82 states/eV/cell
E ... -1.4988 Ha/atom

Cell: 3.393 3.393 27.355 Å, 90.00 90.00 120.00°
Fractional coordinates of all 12 atoms:
W1 0.667 0.333 0.758
Te1 0.667 0.333 0.567
Te2 0.000 0.000 0.172
Te3 0.000 0.000 0.690
S1 0.667 0.333 0.945
Te4 0.000 0.000 0.826
Mo1 0.000 0.000 0.499
Te5 0.000 0.000 0.308
W2 0.000 0.000 0.999
S2 0.667 0.333 0.054
W3 0.667 0.333 0.240
Te6 0.667 0.333 0.432

***

No. 3
Below is Ba2Pd2Br at its PBEsol-relaxed geometry, with properties calculated at the meta-GGA SCAN level.

Summary:
DOS(E_F) ... 2.32 states/eV/cell
E ... -1.2409 Ha/atom

Cell: 3.992 3.992 9.366 Å, 102.31 102.31 90.00°
Fractional coordinates of all 5 atoms:
Ba1 0.379 0.379 0.757
Pd1 0.250 0.750 0.500
Pd2 0.750 0.250 0.500
Ba2 0.621 0.621 0.243
Br1 0.000 0.000 0.000